Tb3Sm7Cd: optimized geometry, PBE.

The space group is P3m1 (No. 156) and the conventional cell measures 7.0474, 7.0474 and 8.6184 Å, with angles of 90.00, 90.00 and 120.00 degrees. Symmetry generates all atoms from Tb at (0.1678, 0.3356, 0.0000), Sm at (0.0052, 0.5026, 0.6660), Sm at (0.3314, 0.1657, 0.3358), Sm at (0.3333, 0.6667, 0.3308) and Cd at (0.0000, 0.0000, 0.6690).

As for the density of states at the Fermi level: 15.8 states/eV/cell. Its energy of formation from the pure elements is 0.1514 eV per atom. The calculated density comes out at 7.354 g/cm3. The total magnetic moment is 0.000 μB per atom.